Here is a relaxed LiBiCl6 crystal from Alexandria via LeMat-Bulk. Energies are from PBE.

The structure belongs to space group R-3 (No. 148, hexagonal axes); the cell edges are 6.5723, 6.5723 and 17.4143 Å and the angles 90.00°, 90.00° and 120.00°. The inequivalent atoms are Li at (0.0000, 0.0000, 0.0000), Bi at (0.0000, 0.0000, 0.5000) and Cl at (0.0086, 0.6881, 0.5840).

The value obtained for the total energy is -2.879 eV/atom.